VASP calculation (SCAN) on a PBEsol-optimized structure of CaMg30TiO32.

Computed properties:
symmetry: P4/mmm (123)
uncorrected energy: -0.3241 Ha/atom
crystal system: tetragonal

a b c (Å): 8.498 8.498 8.496
angles (deg): 90.00 90.00 90.00
Fractional coordinates of all 64 atoms:
Ca1 0.000 0.000 0.000
Mg1 0.000 0.254 0.252
Mg2 0.000 0.254 0.748
Mg3 0.000 0.500 0.000
Mg4 0.000 0.500 0.500
Mg5 0.000 0.746 0.252
Mg6 0.000 0.746 0.748
Mg7 0.250 0.250 0.500
Mg8 0.250 0.750 0.500
Mg9 0.251 0.500 0.250
Mg10 0.251 0.500 0.750
Mg11 0.253 0.253 0.000
Mg12 0.253 0.747 0.000
Mg13 0.254 0.000 0.252
Mg14 0.254 0.000 0.748
Mg15 0.500 0.000 0.000
Mg16 0.500 0.000 0.500
Mg17 0.500 0.251 0.250
Mg18 0.500 0.251 0.750
Mg19 0.500 0.500 0.000
Mg20 0.500 0.500 0.500
Mg21 0.500 0.749 0.250
Mg22 0.500 0.749 0.750
Mg23 0.746 0.000 0.252
Mg24 0.746 0.000 0.748
Mg25 0.747 0.253 0.000
Mg26 0.747 0.747 0.000
Mg27 0.749 0.500 0.250
Mg28 0.749 0.500 0.750
Mg29 0.750 0.250 0.500
Mg30 0.750 0.750 0.500
Ti1 0.000 0.000 0.500
O1 0.000 0.000 0.259
O2 0.000 0.000 0.741
O3 0.000 0.257 0.500
O4 0.000 0.262 0.000
O5 0.000 0.500 0.251
O6 0.000 0.500 0.749
O7 0.000 0.738 0.000
O8 0.000 0.743 0.500
O9 0.250 0.250 0.250
O10 0.250 0.250 0.750
O11 0.250 0.750 0.250
O12 0.250 0.750 0.750
O13 0.251 0.500 0.500
O14 0.252 0.500 0.000
O15 0.257 0.000 0.500
O16 0.262 0.000 0.000
O17 0.500 0.000 0.251
O18 0.500 0.000 0.749
O19 0.500 0.251 0.500
O20 0.500 0.252 0.000
O21 0.500 0.500 0.250
O22 0.500 0.500 0.750
O23 0.500 0.748 0.000
O24 0.500 0.749 0.500
O25 0.738 0.000 0.000
O26 0.743 0.000 0.500
O27 0.748 0.500 0.000
O28 0.749 0.500 0.500
O29 0.750 0.250 0.250
O30 0.750 0.250 0.750
O31 0.750 0.750 0.250
O32 0.750 0.750 0.750

=====

VASP calculation (SCAN) on a PBEsol-optimized structure of LaSc2GeP.

Computed properties:
ΔE_f: 1.29 eV per atom
symmetry: P4/mmm (123)
crystal system: tetragonal

a b c (Å): 5.160 5.160 5.198
angles (deg): 90.00 90.00 90.00
Fractional coordinates of all 5 atoms:
La1 0.000 0.000 0.000
Sc1 0.000 0.500 0.000
Sc2 0.500 0.000 0.000
Ge1 0.000 0.000 0.500
P1 0.500 0.500 0.500

=====

VASP calculation (SCAN) on a PBEsol-optimized structure of AsPRu2.

Computed properties:
ΔE_f: -0.17 eV per atom
symmetry: C2/m (12)
offset from the most stable computed form: 0.167 eV/atom
crystal system: monoclinic

a b c (Å): 7.604 2.888 5.049
angles (deg): 90.00 102.97 90.00
Fractional coordinates of all 8 atoms:
As1 0.000 0.000 0.000
As2 0.500 0.500 0.000
P1 0.000 0.500 0.500
P2 0.500 0.000 0.500
Ru1 0.244 0.000 0.736
Ru2 0.256 0.500 0.264
Ru3 0.744 0.500 0.736
Ru4 0.756 0.000 0.264

=====

VASP calculation (SCAN) on a PBEsol-optimized structure of CeSi2Ir2.

Computed properties:
symmetry: I4/mmm (139)
uncorrected energy: -1.5634 Ha/atom
crystal system: tetragonal

a b c (Å): 4.054 4.054 10.027
angles (deg): 90.00 90.00 90.00
Fractional coordinates of all 10 atoms:
Ce1 0.000 0.000 0.000
Ce2 0.500 0.500 0.500
Si1 0.000 0.000 0.379
Si2 0.000 0.000 0.621
Si3 0.500 0.500 0.121
Si4 0.500 0.500 0.879
Ir1 0.000 0.500 0.250
Ir2 0.000 0.500 0.750
Ir3 0.500 0.000 0.250
Ir4 0.500 0.000 0.750

=====

VASP calculation (SCAN) on a PBEsol-optimized structure of La2HgP.

Computed properties:
ΔE_f: -0.90 eV per atom
symmetry: I4/mmm (139)
offset from the most stable computed form: 0.280 eV/atom
crystal system: tetragonal

a b c (Å): 4.967 4.967 8.153
angles (deg): 90.00 90.00 90.00
Fractional coordinates of all 8 atoms:
La1 0.000 0.500 0.250
La2 0.000 0.500 0.750
La3 0.500 0.000 0.250
La4 0.500 0.000 0.750
Hg1 0.000 0.000 0.000
Hg2 0.500 0.500 0.500
P1 0.000 0.000 0.500
P2 0.500 0.500 0.000

=====

VASP calculation (SCAN) on a PBEsol-optimized structure of ScTcPt2.

Computed properties:
ΔE_f: -0.78 eV per atom
symmetry: Cmmm (65)
offset from the most stable computed form: 0.000 eV/atom
crystal system: orthorhombic

a b c (Å): 5.525 7.934 2.775
angles (deg): 90.00 90.00 90.00
Fractional coordinates of all 8 atoms:
Sc1 0.000 0.000 0.000
Sc2 0.500 0.500 0.000
Tc1 0.000 0.500 0.000
Tc2 0.500 0.000 0.000
Pt1 0.250 0.250 0.500
Pt2 0.250 0.750 0.500
Pt3 0.750 0.250 0.500
Pt4 0.750 0.750 0.500

=====

Respective size of the total moment values: 1.994; 0.000; 0.000; 1.197; 0.000; 0.000 μB per cell.